1.
# LiReTc, relaxed, DFT GGA-PBE
# Theoretical density (Mg/m³): 11.53
# Excess energy over the best structure of this formula in the dataset (kJ/mol of formula units): 32
# Fermi-level density of states (states/eV per cell): 3.65
# ΔE_f (eV per atom): 0.214
data_LiReTc
_symmetry_space_group_name_H-M 'I m m 2'
_symmetry_Int_Tables_number 44
_cell_length_a 2.5790
_cell_length_b 4.2977
_cell_length_c 7.5681
_cell_angle_alpha 90.00
_cell_angle_beta 90.00
_cell_angle_gamma 90.00
loop_
_symmetry_equiv_pos_as_xyz
'x,y,z'
'-x,-y,z'
'-x,y,z'
'x,-y,z'
'x+1/2,y+1/2,z+1/2'
'-x+1/2,-y+1/2,z+1/2'
'-x+1/2,y+1/2,z+1/2'
'x+1/2,-y+1/2,z+1/2'
loop_
_atom_site_label
_atom_site_fract_x
_atom_site_fract_y
_atom_site_fract_z
_atom_site_occupancy
Li1 0.0000 0.0000 0.0000 1
Re1 0.0000 0.0000 0.6652 1
Tc1 0.0000 0.0000 0.3330 1

---

2.
# Li2ReTc, relaxed, DFT GGA-PBE
# Theoretical density (Mg/m³): 9.22
# Excess energy over the best structure of this formula in the dataset (kJ/mol of formula units): 14
# Fermi-level density of states (states/eV per cell): 10.69
# ΔE_f (eV per atom): 0.230
data_Li2ReTc
_symmetry_space_group_name_H-M 'F -4 3 m'
_symmetry_Int_Tables_number 216
_symmetry_space_group_name_Hall 'F -4 2 3'
_cell_length_a 5.9877
_cell_length_b 5.9877
_cell_length_c 5.9877
_cell_angle_alpha 90.00
_cell_angle_beta 90.00
_cell_angle_gamma 90.00
loop_
_atom_site_label
_atom_site_fract_x
_atom_site_fract_y
_atom_site_fract_z
_atom_site_occupancy
Li1 0.0000 0.0000 0.0000 1
Li2 0.2500 0.2500 0.2500 1
Re1 0.0000 0.0000 0.5000 1
Tc1 0.2500 0.2500 0.7500 1